# 1
An optimized crystal structure of VFeC2. Source: Alexandria, functional PBE.

Cell: 2.707 3.652 3.652 Å, 74.19 90.00 90.00°
Fractional coordinates of all 4 atoms:
V (0.000, 0.000, 0.000)
Fe (0.500, 0.386, 0.386)
C (0.500, 0.540, 0.858)
C (0.500, 0.858, 0.540)

Values from the calculation:
* D(E_F): 0.670 states/eV per atom
* magnetic moment: 0.00 Bohr magnetons per cell
* final energy: -35.427 eV/cell

# 2
An optimized crystal structure of LaTc2Rh. Source: Alexandria, functional PBE.

Cell: 10.104 10.104 10.104 Å, 16.26 16.26 16.26°
Fractional coordinates of all 4 atoms:
La (0.000, 0.000, 0.000)
Tc (0.238, 0.238, 0.238)
Tc (0.762, 0.762, 0.762)
Rh (0.500, 0.500, 0.500)

Values from the calculation:
* D(E_F): 1.827 states/eV per atom
* magnetic moment: 0.16 Bohr magnetons per cell
* final energy: -30.684 eV/cell

# 3
An optimized crystal structure of Pr2NdSm. Source: Alexandria, functional PBE.

Cell: 12.212 12.212 12.212 Å, 17.36 17.36 17.36°
Fractional coordinates of all 4 atoms:
Pr (0.249, 0.249, 0.249)
Pr (0.751, 0.751, 0.751)
Nd (0.000, 0.000, 0.000)
Sm (0.500, 0.500, 0.500)

Values from the calculation:
* D(E_F): 1.436 states/eV per atom
* magnetic moment: 0.00 Bohr magnetons per cell
* final energy: -19.001 eV/cell